A plane-wave DFT calculation with GGA-PBE was carried out for an optimized crystal structure of Nd8Ni3RhBr4.

Lattice parameters (Å, degrees): 9.091 9.091 9.091 53.54 53.54 53.54
Fractional coordinates of all 16 atoms:
Nd 0.228 0.733 0.733
Nd 0.231 0.231 0.231
Nd 0.267 0.267 0.772
Nd 0.267 0.772 0.267
Nd 0.733 0.228 0.733
Nd 0.733 0.733 0.228
Nd 0.769 0.769 0.769
Nd 0.772 0.267 0.267
Ni 0.000 0.000 0.500
Ni 0.000 0.500 0.000
Ni 0.500 0.000 0.000
Rh 0.500 0.500 0.500
Br 0.000 0.000 0.000
Br 0.000 0.500 0.500
Br 0.500 0.000 0.500
Br 0.500 0.500 0.000

Calculated values
Uncorrected formation energy, eV per atom: -0.873
Total DFT energy (no corrections), eV per atom: -5.218
D(E_F), states/eV/f.u.: 10.57